#1
DFT (PBE-GGA) results for an optimized crystal structure of Ho12Tm7Zr.

Lattice parameters (Å, degrees): 9.764 9.764 9.764 109.47 109.47 109.47
Fractional coordinates of all 20 atoms:
1 Tm 0.500 0.500 0.500
2 Tm 0.500 0.500 0.000
3 Tm 0.000 0.500 0.500
4 Tm 0.500 0.000 0.000
5 Tm 0.000 0.000 0.500
6 Tm 0.000 0.500 0.000
7 Tm 0.500 0.000 0.500
8 Ho 0.780 0.560 0.780
9 Ho 0.999 0.220 0.780
10 Ho 0.220 0.440 0.220
11 Ho 0.220 0.220 0.440
12 Ho 0.440 0.220 0.220
13 Ho 0.780 0.220 0.001
14 Ho 0.220 0.780 0.999
15 Ho 0.001 0.780 0.220
16 Ho 0.220 0.001 0.780
17 Ho 0.780 0.999 0.220
18 Ho 0.780 0.780 0.560
19 Ho 0.560 0.780 0.780
20 Zr 0.000 0.000 0.000

---

#2
DFT (PBE-GGA) results for an optimized crystal structure of Ho12Tm7Zr.

Lattice parameters (Å, degrees): 8.590 8.590 8.590 90.76 90.76 90.76
Fractional coordinates of all 20 atoms:
1 Tm 0.500 0.500 0.500
2 Tm 0.978 0.668 0.074
3 Tm 0.074 0.978 0.668
4 Tm 0.332 0.926 0.022
5 Tm 0.668 0.074 0.978
6 Tm 0.022 0.332 0.926
7 Tm 0.926 0.022 0.332
8 Ho 0.631 0.774 0.233
9 Ho 0.353 0.450 0.123
10 Ho 0.450 0.123 0.353
11 Ho 0.233 0.631 0.774
12 Ho 0.226 0.767 0.369
13 Ho 0.774 0.233 0.631
14 Ho 0.550 0.877 0.647
15 Ho 0.123 0.353 0.450
16 Ho 0.877 0.647 0.550
17 Ho 0.647 0.550 0.877
18 Ho 0.369 0.226 0.767
19 Ho 0.767 0.369 0.226
20 Zr 0.000 0.000 0.000

---

Name the least stable of them. #1.

---

#1
DFT (PBE-GGA) results for an optimized crystal structure of Ho4TmZr.

Lattice parameters (Å, degrees): 3.369 7.920 7.920 89.97 90.00 90.00
Fractional coordinates of all 6 atoms:
1 Ho 0.500 0.744 0.256
2 Ho 0.000 0.770 0.770
3 Ho 0.000 0.230 0.230
4 Ho 0.500 0.256 0.744
5 Zr 0.500 0.000 0.000
6 Tm 0.000 0.500 0.500

---

#2
DFT (PBE-GGA) results for an optimized crystal structure of Ho4TmZr.

Lattice parameters (Å, degrees): 3.446 9.144 7.770 126.54 63.54 100.95
Fractional coordinates of all 6 atoms:
1 Tm 0.500 0.000 0.500
2 Ho 0.178 0.320 0.481
3 Ho 0.661 0.322 0.001
4 Ho 0.822 0.680 0.519
5 Ho 0.339 0.678 0.999
6 Zr 0.000 0.000 0.000

---

Name the least stable of them. #1.

---

#1
DFT (PBE-GGA) results for an optimized crystal structure of Ho3TmZr.

Lattice parameters (Å, degrees): 8.930 11.811 8.109 151.35 65.79 129.28
Fractional coordinates of all 10 atoms:
1 Ho 0.669 0.877 0.976
2 Ho 0.759 0.352 0.851
3 Ho 0.331 0.123 0.024
4 Ho 0.437 0.259 0.562
5 Ho 0.563 0.741 0.438
6 Ho 0.241 0.648 0.149
7 Tm 0.849 0.471 0.376
8 Tm 0.151 0.529 0.624
9 Zr 0.052 0.071 0.760
10 Zr 0.948 0.929 0.240

---

#2
DFT (PBE-GGA) results for an optimized crystal structure of Ho3TmZr.

Lattice parameters (Å, degrees): 3.435 9.119 9.772 105.67 90.05 100.84
Fractional coordinates of all 10 atoms:
1 Zr 0.818 0.669 0.850
2 Zr 0.226 0.485 0.572
3 Tm 0.625 0.283 0.271
4 Tm 0.419 0.871 0.151
5 Ho 0.024 0.081 0.460
6 Ho 0.226 0.484 0.053
7 Ho 0.020 0.073 0.961
8 Ho 0.818 0.670 0.368
9 Ho 0.415 0.864 0.665
10 Ho 0.629 0.290 0.756

---

Name the least stable of them. #2.

---

#1
DFT (PBE-GGA) results for an optimized crystal structure of HoTmZr2.

Lattice parameters (Å, degrees): 3.320 3.320 11.109 81.41 81.41 60.00
Fractional coordinates of all 4 atoms:
1 Zr 0.750 0.750 0.749
2 Zr 0.250 0.250 0.251
3 Ho 0.000 0.000 0.000
4 Tm 0.500 0.500 0.500

---

#2
DFT (PBE-GGA) results for an optimized crystal structure of HoTmZr2.

Lattice parameters (Å, degrees): 3.360 5.877 11.257 74.80 98.54 89.96
Fractional coordinates of all 8 atoms:
1 Zr 0.632 0.196 0.763
2 Zr 0.368 0.804 0.237
3 Zr 0.752 0.763 0.004
4 Zr 0.248 0.237 0.996
5 Tm 0.131 0.700 0.762
6 Tm 0.869 0.300 0.238
7 Ho 0.500 0.000 0.500
8 Ho 0.000 0.500 0.500

---

#3
DFT (PBE-GGA) results for an optimized crystal structure of HoTmZr2.

Lattice parameters (Å, degrees): 3.915 3.915 6.818 90.00 90.00 90.00
Fractional coordinates of all 4 atoms:
1 Zr 0.000 0.000 0.768
2 Zr 0.000 0.000 0.232
3 Ho 0.500 0.500 0.500
4 Tm 0.500 0.500 0.000

---

Name the least stable of them. #3.

---

#1
DFT (PBE-GGA) results for an optimized crystal structure of HoTmZr2.

Lattice parameters (Å, degrees): 4.767 4.686 4.686 90.00 90.00 90.00
Fractional coordinates of all 4 atoms:
1 Ho 0.500 0.500 0.500
2 Zr 0.000 0.500 0.000
3 Zr 0.000 0.000 0.500
4 Tm 0.500 0.000 0.000

---

#2
DFT (PBE-GGA) results for an optimized crystal structure of HoTmZr2.

Lattice parameters (Å, degrees): 3.350 3.350 10.964 81.21 81.21 60.03
Fractional coordinates of all 4 atoms:
1 Zr 0.250 0.250 0.250
2 Zr 0.083 0.083 0.751
3 Ho 0.500 0.500 0.500
4 Tm 0.667 0.667 0.000

---

Name the least stable of them. #1.

---

#1
DFT (PBE-GGA) results for an optimized crystal structure of Ho4Tm3Zr.

Lattice parameters (Å, degrees): 6.116 7.094 10.983 90.00 90.00 90.00
Fractional coordinates of all 16 atoms:
1 Tm 0.477 0.379 0.748
2 Tm 0.977 0.621 0.248
3 Tm 0.647 0.616 0.000
4 Tm 0.147 0.384 0.500
5 Tm 0.977 0.621 0.752
6 Tm 0.477 0.379 0.252
7 Ho 0.487 0.870 0.255
8 Ho 0.487 0.870 0.745
9 Ho 0.987 0.130 0.755
10 Ho 0.144 0.868 0.500
11 Ho 0.644 0.132 0.000
12 Ho 0.647 0.128 0.500
13 Ho 0.147 0.872 0.000
14 Ho 0.987 0.130 0.245
15 Zr 0.651 0.623 0.500
16 Zr 0.151 0.377 0.000

---

#2
DFT (PBE-GGA) results for an optimized crystal structure of Ho4Tm3Zr.

Lattice parameters (Å, degrees): 3.367 6.593 11.408 73.20 98.49 90.00
Fractional coordinates of all 8 atoms:
1 Ho 0.120 0.118 0.240
2 Ho 0.741 0.757 0.482
3 Ho 0.880 0.882 0.760
4 Ho 0.259 0.243 0.518
5 Tm 0.120 0.645 0.239
6 Tm 0.000 0.500 0.000
7 Tm 0.880 0.355 0.761
8 Zr 0.500 0.000 0.000

---

Name the least stable of them. #2.